Entry 1:
The following is a DFT calculation (SCAN) of a crystal of CoRe2Ru relaxed with PBEsol.

Results
E above lowest polymorph in kJ/mol of formula units: 0.0
Uncorrected energy in eV per atom: -48.584
ΔE_f in meV/atom: -3
M_tot in μB/f.u.: 0.00

Unit cell a=2.6786 b=4.2360 c=4.6222 alpha=90.00 beta=90.00 gamma=90.00
Fractional positions:
Co (0.0000, 0.0000, 0.0000)
Re (0.5000, 0.0000, 0.5108)
Re (0.5000, 0.5000, 0.8519)
Ru (0.0000, 0.5000, 0.3357)


Entry 2:
The following is a DFT calculation (SCAN) of a crystal of Ho7InCo4Ge12 relaxed with PBEsol.

Results
Uncorrected energy in eV per atom: -28.840
ΔE_f in meV/atom: -733
M_tot in μB/f.u.: 0.00

Unit cell a=10.1953 b=10.1953 c=4.1234 alpha=90.00 beta=90.00 gamma=90.00
Fractional positions:
Ho (0.0000, 0.0000, 0.0000)
Ho (0.0000, 0.5000, 0.5000)
Ho (0.3221, 0.6740, 0.5000)
Ho (0.3260, 0.3221, 0.5000)
Ho (0.5000, 0.0000, 0.5000)
Ho (0.6740, 0.6779, 0.5000)
Ho (0.6779, 0.3260, 0.5000)
In (0.5000, 0.5000, 0.0000)
Co (0.1181, 0.2782, 0.0000)
Co (0.2782, 0.8819, 0.0000)
Co (0.7218, 0.1181, 0.0000)
Co (0.8819, 0.7218, 0.0000)
Ge (0.0648, 0.1950, 0.5000)
Ge (0.1126, 0.7144, 0.0000)
Ge (0.1950, 0.9352, 0.5000)
Ge (0.2131, 0.4860, 0.0000)
Ge (0.2856, 0.1126, 0.0000)
Ge (0.4860, 0.7869, 0.0000)
Ge (0.5140, 0.2131, 0.0000)
Ge (0.7144, 0.8874, 0.0000)
Ge (0.7869, 0.5140, 0.0000)
Ge (0.8050, 0.0648, 0.5000)
Ge (0.8874, 0.2856, 0.0000)
Ge (0.9352, 0.8050, 0.5000)